Entry 1:
A relaxed GaCu2Ni8 crystal, computed with PBE-GGA.

a = 6.990 Å, b = 6.990 Å, c = 4.313 Å
α = 107.29°, β = 107.29°, γ = 125.14°
Positions (direct):
Ga 0.000 0.000 0.000
Cu 0.316 0.684 0.500
Cu 0.684 0.316 0.500
Ni 0.103 0.379 0.730
Ni 0.192 0.808 0.000
Ni 0.379 0.103 0.730
Ni 0.456 0.456 0.213
Ni 0.544 0.544 0.787
Ni 0.621 0.897 0.270
Ni 0.808 0.192 0.000
Ni 0.897 0.621 0.270

Output
Its space group is C2/m (12). As for the energy of formation: 0.120 eV/atom.

=====

Entry 2:
A relaxed GaCuNi crystal, computed with PBE-GGA.

a = 4.898 Å, b = 4.898 Å, c = 4.898 Å
α = 131.34°, β = 116.95°, γ = 83.47°
Positions (direct):
Ga 0.248 0.000 0.248
Ga 0.752 0.000 0.752
Cu 0.336 0.336 0.000
Cu 0.664 0.664 0.000
Ni 0.164 0.664 0.500
Ni 0.836 0.336 0.500

Output
Its space group is Immm (71). As for the energy of formation: -0.065 eV/atom.

=====

Entry 3:
A relaxed Ga2Cu3Ni3 crystal, computed with PBE-GGA.

a = 3.675 Å, b = 3.714 Å, c = 7.020 Å
α = 90.00°, β = 90.00°, γ = 90.00°
Positions (direct):
Ga 0.000 0.000 0.243
Ga 0.000 0.000 0.757
Cu 0.000 0.500 0.500
Cu 0.500 0.500 0.248
Cu 0.500 0.500 0.752
Ni 0.000 0.500 0.000
Ni 0.500 0.000 0.000
Ni 0.500 0.000 0.500

Output
Its space group is Pmmm (47). As for the energy of formation: -0.226 eV/atom.

=====

Entry 4:
A relaxed Ga7Cu6Ni16 crystal, computed with PBE-GGA.

a = 8.032 Å, b = 8.032 Å, c = 8.032 Å
α = 60.00°, β = 60.00°, γ = 60.00°
Positions (direct):
Ga 0.000 0.000 0.000
Ga 0.000 0.000 0.500
Ga 0.000 0.500 0.000
Ga 0.000 0.500 0.500
Ga 0.500 0.000 0.000
Ga 0.500 0.000 0.500
Ga 0.500 0.500 0.000
Cu 0.286 0.286 0.714
Cu 0.286 0.714 0.286
Cu 0.286 0.714 0.714
Cu 0.714 0.286 0.286
Cu 0.714 0.286 0.714
Cu 0.714 0.714 0.286
Ni 0.001 0.666 0.666
Ni 0.119 0.119 0.119
Ni 0.119 0.119 0.642
Ni 0.119 0.642 0.119
Ni 0.334 0.334 0.334
Ni 0.334 0.334 0.999
Ni 0.334 0.999 0.334
Ni 0.358 0.881 0.881
Ni 0.642 0.119 0.119
Ni 0.666 0.001 0.666
Ni 0.666 0.666 0.001
Ni 0.666 0.666 0.666
Ni 0.881 0.358 0.881
Ni 0.881 0.881 0.358
Ni 0.881 0.881 0.881
Ni 0.999 0.334 0.334

Output
Its space group is Fm-3m (225). As for the energy of formation: -0.113 eV/atom.

=====

Entry 5:
A relaxed GaCuNi crystal, computed with PBE-GGA.

a = 4.444 Å, b = 4.444 Å, c = 2.673 Å
α = 106.56°, β = 106.56°, γ = 47.56°
Positions (direct):
Ga 0.000 0.000 0.000
Cu 0.671 0.671 0.674
Ni 0.339 0.339 0.338

Output
Its space group is Cm (8). As for the energy of formation: -0.193 eV/atom.

=====

Entry 6:
A relaxed Ga2Cu3Ni2 crystal, computed with PBE-GGA.

a = 6.241 Å, b = 6.241 Å, c = 6.241 Å
α = 109.47°, β = 109.47°, γ = 109.47°
Positions (direct):
Ga 0.000 0.477 0.500
Ga 0.023 0.023 0.023
Ga 0.477 0.500 0.000
Ga 0.500 0.000 0.477
Cu 0.233 0.750 0.983
Cu 0.250 0.517 0.267
Cu 0.267 0.250 0.517
Cu 0.517 0.267 0.250
Cu 0.750 0.983 0.233
Cu 0.983 0.233 0.750
Ni 0.000 0.841 0.500
Ni 0.500 0.000 0.841
Ni 0.659 0.659 0.659
Ni 0.841 0.500 0.000

Output
Its space group is I2_13 (199). As for the energy of formation: 0.077 eV/atom.

=====

Entry 7:
A relaxed GaCu3Ni2 crystal, computed with PBE-GGA.

a = 8.264 Å, b = 2.660 Å, c = 12.981 Å
α = 90.00°, β = 90.00°, γ = 90.00°
Positions (direct):
Ga 0.249 0.250 0.204
Ga 0.251 0.750 0.704
Ga 0.749 0.250 0.296
Ga 0.751 0.750 0.796
Cu 0.001 0.250 0.418
Cu 0.002 0.750 0.918
Cu 0.250 0.250 0.874
Cu 0.250 0.750 0.374
Cu 0.498 0.250 0.418
Cu 0.499 0.750 0.918
Cu 0.501 0.250 0.082
Cu 0.502 0.750 0.582
Cu 0.750 0.250 0.626
Cu 0.750 0.750 0.126
Cu 0.998 0.250 0.082
Cu 0.999 0.750 0.582
Ni 0.001 0.250 0.750
Ni 0.250 0.250 0.540
Ni 0.250 0.750 0.040
Ni 0.499 0.750 0.250
Ni 0.501 0.250 0.750
Ni 0.750 0.250 0.960
Ni 0.750 0.750 0.460
Ni 0.999 0.750 0.250

Output
Its space group is Pnma (62). As for the energy of formation: -0.119 eV/atom.

=====

Entry 8:
A relaxed Ga3Cu2Ni2 crystal, computed with PBE-GGA.

a = 9.501 Å, b = 9.501 Å, c = 2.670 Å
α = 90.00°, β = 90.00°, γ = 157.98°
Positions (direct):
Ga 0.000 0.000 0.000
Ga 0.145 0.855 0.000
Ga 0.855 0.145 0.000
Cu 0.293 0.707 0.500
Cu 0.707 0.293 0.500
Ni 0.430 0.570 0.500
Ni 0.570 0.430 0.500

Output
Its space group is Cmmm (65). As for the energy of formation: -0.155 eV/atom.

=====

Entry 9:
A relaxed Ga2Cu5Ni12 crystal, computed with PBE-GGA.

a = 6.553 Å, b = 6.553 Å, c = 5.915 Å
α = 91.28°, β = 91.28°, γ = 62.30°
Positions (direct):
Ga 0.199 0.801 0.000
Ga 0.801 0.199 0.000
Cu 0.199 0.199 0.999
Cu 0.265 0.265 0.414
Cu 0.500 0.500 0.500
Cu 0.735 0.735 0.586
Cu 0.801 0.801 0.001
Ni 0.055 0.055 0.328
Ni 0.072 0.680 0.345
Ni 0.161 0.526 0.745
Ni 0.320 0.928 0.655
Ni 0.408 0.408 0.110
Ni 0.474 0.839 0.255
Ni 0.526 0.161 0.745
Ni 0.592 0.592 0.890
Ni 0.680 0.072 0.345
Ni 0.839 0.474 0.255
Ni 0.928 0.320 0.655
Ni 0.945 0.945 0.672

Output
Its space group is C2/m (12). As for the energy of formation: 0.043 eV/atom.

=====

Entry 10:
A relaxed Ga2CuNi4 crystal, computed with PBE-GGA.

a = 8.617 Å, b = 8.617 Å, c = 8.617 Å
α = 157.41°, β = 157.41°, γ = 32.16°
Positions (direct):
Ga 0.118 0.118 0.000
Ga 0.882 0.882 0.000
Cu 0.500 0.500 0.000
Ni 0.250 0.750 0.500
Ni 0.357 0.357 0.000
Ni 0.643 0.643 0.000
Ni 0.750 0.250 0.500

Output
Its space group is I4/mmm (139). As for the energy of formation: 0.012 eV/atom.

=====

Entry 11:
A relaxed Ga2Cu2Ni15 crystal, computed with PBE-GGA.

a = 6.188 Å, b = 6.188 Å, c = 6.188 Å
α = 80.64°, β = 80.64°, γ = 80.64°
Positions (direct):
Ga 0.137 0.137 0.137
Ga 0.863 0.863 0.863
Cu 0.404 0.404 0.404
Cu 0.596 0.596 0.596
Ni 0.000 0.500 0.500
Ni 0.160 0.160 0.667
Ni 0.160 0.667 0.160
Ni 0.175 0.500 0.825
Ni 0.175 0.825 0.500
Ni 0.333 0.840 0.840
Ni 0.500 0.000 0.500
Ni 0.500 0.175 0.825
Ni 0.500 0.500 0.000
Ni 0.500 0.825 0.175
Ni 0.667 0.160 0.160
Ni 0.825 0.175 0.500
Ni 0.825 0.500 0.175
Ni 0.840 0.333 0.840
Ni 0.840 0.840 0.333

Output
Its space group is R-3m (166). As for the energy of formation: 0.092 eV/atom.

=====

Entry 12:
A relaxed GaCu6Ni crystal, computed with PBE-GGA.

a = 4.886 Å, b = 4.886 Å, c = 4.886 Å
α = 85.23°, β = 85.23°, γ = 85.23°
Positions (direct):
Ga 0.000 0.000 0.000
Cu 0.165 0.165 0.534
Cu 0.165 0.534 0.165
Cu 0.466 0.835 0.835
Cu 0.534 0.165 0.165
Cu 0.835 0.466 0.835
Cu 0.835 0.835 0.466
Ni 0.500 0.500 0.500

Output
Its space group is R-3m (166). As for the energy of formation: 0.367 eV/atom.

=====

Entry 13:
A relaxed Ga8Cu2Ni3 crystal, computed with PBE-GGA.

a = 7.133 Å, b = 4.080 Å, c = 7.138 Å
α = 90.00°, β = 110.47°, γ = 90.00°
Positions (direct):
Ga 0.117 0.000 0.366
Ga 0.119 0.500 0.881
Ga 0.364 0.000 0.117
Ga 0.370 0.500 0.630
Ga 0.630 0.500 0.370
Ga 0.636 0.000 0.883
Ga 0.881 0.500 0.119
Ga 0.883 0.000 0.634
Cu 0.251 0.000 0.750
Cu 0.749 0.000 0.250
Ni 0.257 0.500 0.258
Ni 0.500 0.000 0.500
Ni 0.743 0.500 0.742

Output
Its space group is P2/m (10). As for the energy of formation: -0.237 eV/atom.

=====

Entry 14:
A relaxed GaCuNi5 crystal, computed with PBE-GGA.

a = 4.796 Å, b = 4.796 Å, c = 8.794 Å
α = 98.51°, β = 98.51°, γ = 57.34°
Positions (direct):
Ga 0.000 0.000 0.000
Ga 0.000 0.000 0.500
Cu 0.269 0.731 0.750
Cu 0.731 0.269 0.250
Ni 0.221 0.252 0.191
Ni 0.241 0.759 0.250
Ni 0.252 0.221 0.691
Ni 0.335 0.363 0.459
Ni 0.363 0.335 0.959
Ni 0.637 0.665 0.041
Ni 0.665 0.637 0.541
Ni 0.748 0.779 0.309
Ni 0.759 0.241 0.750
Ni 0.779 0.748 0.809

Output
Its space group is C2/c (15). As for the energy of formation: 0.051 eV/atom.

=====

Entry 15:
A relaxed GaCu8Ni2 crystal, computed with PBE-GGA.

a = 6.347 Å, b = 6.347 Å, c = 4.283 Å
α = 101.14°, β = 101.14°, γ = 61.22°
Positions (direct):
Ga 0.000 0.000 0.000
Cu 0.230 0.230 0.096
Cu 0.245 0.617 0.216
Cu 0.354 0.354 0.668
Cu 0.383 0.755 0.784
Cu 0.617 0.245 0.216
Cu 0.646 0.646 0.332
Cu 0.755 0.383 0.784
Cu 0.770 0.770 0.904
Ni 0.118 0.118 0.534
Ni 0.882 0.882 0.466

Output
Its space group is C2/m (12). As for the energy of formation: 0.197 eV/atom.

=====

Entry 16:
A relaxed Ga8Cu3Ni crystal, computed with PBE-GGA.

a = 5.811 Å, b = 5.811 Å, c = 5.811 Å
α = 90.00°, β = 90.00°, γ = 90.00°
Positions (direct):
Ga 0.246 0.246 0.246
Ga 0.246 0.246 0.754
Ga 0.246 0.754 0.246
Ga 0.246 0.754 0.754
Ga 0.754 0.246 0.246
Ga 0.754 0.246 0.754
Ga 0.754 0.754 0.246
Ga 0.754 0.754 0.754
Cu 0.000 0.500 0.500
Cu 0.500 0.000 0.500
Cu 0.500 0.500 0.000
Ni 0.000 0.000 0.000

Output
Its space group is Pm-3m (221). As for the energy of formation: -0.164 eV/atom.

=====

Entry 17:
A relaxed GaCu2Ni3 crystal, computed with PBE-GGA.

a = 5.849 Å, b = 5.849 Å, c = 3.374 Å
α = 90.00°, β = 90.00°, γ = 142.82°
Positions (direct):
Ga 0.000 0.000 0.000
Cu 0.330 0.670 0.000
Cu 0.670 0.330 0.000
Ni 0.166 0.834 0.500
Ni 0.500 0.500 0.500
Ni 0.834 0.166 0.500

Output
Its space group is Cmmm (65). As for the energy of formation: -0.164 eV/atom.

=====

Entry 18:
A relaxed GaCu2Ni crystal, computed with PBE-GGA.

a = 4.093 Å, b = 4.093 Å, c = 4.093 Å
α = 119.60°, β = 119.60°, γ = 90.70°
Positions (direct):
Ga 0.000 0.000 0.000
Cu 0.500 0.500 0.000
Cu 0.750 0.250 0.500
Ni 0.250 0.750 0.500

Output
Its space group is I-4m2 (119). As for the energy of formation: -0.160 eV/atom.

=====

Entry 19:
A relaxed Ga2CuNi2 crystal, computed with PBE-GGA.

a = 6.856 Å, b = 6.856 Å, c = 2.744 Å
α = 90.00°, β = 90.00°, γ = 90.00°
Positions (direct):
Ga 0.165 0.335 0.000
Ga 0.335 0.835 0.000
Ga 0.665 0.165 0.000
Ga 0.835 0.665 0.000
Cu 0.000 0.000 0.500
Cu 0.500 0.500 0.500
Ni 0.134 0.634 0.500
Ni 0.366 0.134 0.500
Ni 0.634 0.866 0.500
Ni 0.866 0.366 0.500

Output
Its space group is P4/mbm (127). As for the energy of formation: -0.241 eV/atom.

=====

Entry 20:
A relaxed GaCu12Ni7 crystal, computed with PBE-GGA.

a = 6.608 Å, b = 6.608 Å, c = 6.608 Å
α = 106.96°, β = 106.96°, γ = 106.96°
Positions (direct):
Ga 0.000 0.000 0.000
Cu 0.042 0.303 0.409
Cu 0.228 0.666 0.371
Cu 0.303 0.409 0.042
Cu 0.334 0.629 0.772
Cu 0.371 0.228 0.666
Cu 0.409 0.042 0.303
Cu 0.591 0.958 0.697
Cu 0.629 0.772 0.334
Cu 0.666 0.371 0.228
Cu 0.697 0.591 0.958
Cu 0.772 0.334 0.629
Cu 0.958 0.697 0.591
Ni 0.014 0.898 0.325
Ni 0.102 0.675 0.986
Ni 0.325 0.014 0.898
Ni 0.500 0.500 0.500
Ni 0.675 0.986 0.102
Ni 0.898 0.325 0.014
Ni 0.986 0.102 0.675

Output
Its space group is R-3 (148). As for the energy of formation: 0.061 eV/atom.